Record 1
A geometry-optimized RbSiIO2 structure. Source: Alexandria, functional PBE-GGA.

a b c (Å): 4.499 4.499 6.697
angles (deg): 90.00 90.00 90.00
Sites, in units of the cell vectors:
I: 0.000 0.000 0.500
Si: 0.500 0.500 0.500
O: 0.000 0.500 0.000
O: 0.500 0.000 0.000
Rb: 0.000 0.000 0.000

## Properties
Crystal system ... tetragonal
Raw total energy ... -2.641 eV per atom
Energy relative to the elements, uncorrected ... 0.93 eV/atom
Relative energy among the computed polymorphs ... 1452.7 meV/atom
Fermi-level density of states ... 3.5 states/eV/cell


Record 2
A geometry-optimized RbSmIO6 structure. Source: Alexandria, functional PBE-GGA.

a b c (Å): 5.849 5.849 6.059
angles (deg): 90.00 90.00 60.00
Sites, in units of the cell vectors:
Rb: 0.000 0.000 0.000
Sm: 0.667 0.667 0.500
I: 0.333 0.333 0.500
O: 0.056 0.357 0.320
O: 0.357 0.056 0.680
O: 0.587 0.357 0.680
O: 0.056 0.587 0.680
O: 0.357 0.587 0.320
O: 0.587 0.056 0.320

## Properties
Crystal system ... trigonal
Raw total energy ... -5.461 eV per atom
Energy relative to the elements, uncorrected ... -1.35 eV/atom
Fermi-level density of states ... 6.2 states/eV/cell


Record 3
A geometry-optimized Rb2SmIO6 structure. Source: Alexandria, functional PBE-GGA.

a b c (Å): 6.305 6.305 10.763
angles (deg): 72.97 72.97 60.00
Sites, in units of the cell vectors:
Rb: 0.867 0.867 0.400
Rb: 0.133 0.133 0.600
Rb: 0.733 0.733 0.802
Rb: 0.267 0.267 0.198
Sm: 0.601 0.601 0.198
Sm: 0.399 0.399 0.802
I: 0.000 0.000 0.000
I: 0.500 0.500 0.500
O: 0.816 0.400 0.385
O: 0.400 0.816 0.385
O: 0.400 0.400 0.385
O: 0.184 0.600 0.615
O: 0.600 0.184 0.615
O: 0.600 0.600 0.615
O: 0.749 0.180 0.892
O: 0.180 0.749 0.892
O: 0.180 0.180 0.892
O: 0.251 0.820 0.108
O: 0.820 0.251 0.108
O: 0.820 0.820 0.108

## Properties
Crystal system ... trigonal
Raw total energy ... -5.403 eV per atom
Energy relative to the elements, uncorrected ... -1.61 eV/atom
Fermi-level density of states ... 0.0 states/eV/cell


Record 4
A geometry-optimized RbSnI2O structure. Source: Alexandria, functional PBE-GGA.

a b c (Å): 6.533 6.533 4.409
angles (deg): 90.00 90.00 90.00
Sites, in units of the cell vectors:
I: 0.000 0.500 0.000
I: 0.500 0.000 0.000
O: 0.000 0.000 0.500
Sn: 0.500 0.500 0.500
Rb: 0.000 0.000 0.000

## Properties
Crystal system ... tetragonal
Raw total energy ... -2.438 eV per atom
Energy relative to the elements, uncorrected ... 0.17 eV/atom
Relative energy among the computed polymorphs ... 1127.4 meV/atom
Fermi-level density of states ... 4.0 states/eV/cell